Record 1
TlCo2Cl, relaxed, DFT PBE; raw formation energy = 577 meV per atom; final energy = -4.03 eV/atom
1.0
1.5193 -2.8609 0.0000
1.5193 2.8609 0.0000
0.0000 0.0000 8.0920
Tl Co Cl
1 2 1
direct
0.0000 0.0000 0.0000 Tl
0.5000 0.5000 0.2753 Co
0.5000 0.5000 0.7247 Co
0.0000 0.0000 0.5000 Cl



Record 2
Li2PCl, relaxed, DFT PBE; raw formation energy = -780 meV per atom; final energy = -3.55 eV/atom
1.0
3.0098 0.0000 0.0000
0.0000 2.9964 0.0000
-1.0076 0.0000 7.0748
Li P Cl
2 1 1
direct
0.0092 0.0000 0.2761 Li
0.9908 0.0000 0.7239 Li
0.5000 0.5000 0.0000 P
0.5000 0.5000 0.5000 Cl